Record 1
Material: Tm2ReRu3
Method: DFT, PBE-GGA
State: relaxed

a = 5.4514 Å, b = 5.4514 Å, c = 8.2634 Å
α = 90.00°, β = 90.00°, γ = 120.00°
Positions (direct):
Tm1 0.3333 0.6667 0.0619
Tm2 0.3333 0.6667 0.4381
Tm3 0.6667 0.3333 0.5619
Tm4 0.6667 0.3333 0.9381
Re1 0.0000 0.0000 0.0000
Re2 0.0000 0.0000 0.5000
Ru1 0.1717 0.3434 0.7500
Ru2 0.1717 0.8283 0.7500
Ru3 0.3434 0.1717 0.2500
Ru4 0.6566 0.8283 0.7500
Ru5 0.8283 0.1717 0.2500
Ru6 0.8283 0.6566 0.2500

Calculated values
formation enthalpy at 0 K = -0.359 eV per atom
size of the total moment = 0.00 μB per atom
E = -0.315 hartree per atom
space-group type = P6_3/mmc



Record 2
Material: TbSmCCl
Method: DFT, PBE-GGA
State: relaxed

a = 7.3368 Å, b = 7.3368 Å, c = 7.3368 Å
α = 29.03°, β = 29.03°, γ = 29.03°
Positions (direct):
Tb1 0.0000 0.0000 0.0000
Sm1 0.2074 0.2074 0.2074
C1 0.6073 0.6073 0.6073
Cl1 0.4334 0.4334 0.4334

Calculated values
uncorrected formation energy = -1.0647 eV per atom
size of the total moment = 0.00 μB per atom
E = -0.227 hartree per atom
space-group type = R3m



Record 3
Material: Nb2RuF
Method: DFT, PBE-GGA
State: relaxed

a = 4.4237 Å, b = 4.4237 Å, c = 4.4237 Å
α = 60.00°, β = 60.00°, γ = 60.00°
Positions (direct):
Nb1 0.2500 0.2500 0.2500
Nb2 0.7500 0.7500 0.7500
Ru1 0.0000 0.0000 0.0000
F1 0.5000 0.5000 0.5000

Calculated values
offset from the most stable computed form = 0.000 eV per atom
uncorrected formation energy = -0.2638 eV per atom
size of the total moment = 0.00 μB per atom
E = -0.297 hartree per atom
space-group type = Fm-3m



Repeat the third record exactly.
Material: Nb2RuF
Method: DFT, PBE-GGA
State: relaxed

a = 4.4237 Å, b = 4.4237 Å, c = 4.4237 Å
α = 60.00°, β = 60.00°, γ = 60.00°
Positions (direct):
Nb1 0.2500 0.2500 0.2500
Nb2 0.7500 0.7500 0.7500
Ru1 0.0000 0.0000 0.0000
F1 0.5000 0.5000 0.5000

Calculated values
offset from the most stable computed form = 0.000 eV per atom
uncorrected formation energy = -0.2638 eV per atom
size of the total moment = 0.00 μB per atom
E = -0.297 hartree per atom
space-group type = Fm-3m